Tb8Dy6Ho: optimized geometry, GGA-PBE.

Values from the calculation:
- energy of formation (meV per atom) = 126
- symmetry = R-3 (148)
- total energy (eV per atom) = -4.489

Lattice parameters (Å, degrees): 8.5928 8.5928 8.5928 63.20 63.20 63.20
Last column: nearest neighbours and their distance in Å.
Element x y z (fractional)
Tb 0.0770 0.0770 0.0770  4 Tb 3.16-3.40, 3 Dy 3.35
Tb 0.2206 0.2455 0.6108  3 Dy 3.37-3.74, 5 Tb 3.40-3.41, 1 Ho 3.50
Tb 0.2455 0.6108 0.2206  3 Dy 3.37-3.74, 5 Tb 3.40-3.41, 1 Ho 3.50
Tb 0.3892 0.7794 0.7545  3 Dy 3.37-3.74, 5 Tb 3.40-3.41, 1 Ho 3.50
Tb 0.6108 0.2206 0.2455  3 Dy 3.37-3.74, 5 Tb 3.40-3.41, 1 Ho 3.50
Tb 0.7545 0.3892 0.7794  3 Dy 3.37-3.74, 5 Tb 3.40-3.41, 1 Ho 3.50
Tb 0.7794 0.7545 0.3892  3 Dy 3.37-3.74, 5 Tb 3.40-3.41, 1 Ho 3.50
Tb 0.9230 0.9230 0.9230  4 Tb 3.16-3.40, 3 Dy 3.35
Dy 0.0398 0.7337 0.6048  4 Tb 3.35-3.74, 1 Ho 3.43, 4 Dy 3.49-3.72
Dy 0.2663 0.3952 0.9602  4 Tb 3.35-3.74, 1 Ho 3.43, 4 Dy 3.49-3.72
Dy 0.3952 0.9602 0.2663  4 Tb 3.35-3.74, 1 Ho 3.43, 4 Dy 3.49-3.72
Dy 0.6048 0.0398 0.7337  4 Tb 3.35-3.74, 1 Ho 3.43, 4 Dy 3.49-3.72
Dy 0.7337 0.6048 0.0398  4 Tb 3.35-3.74, 1 Ho 3.43, 4 Dy 3.49-3.72
Dy 0.9602 0.2663 0.3952  4 Tb 3.35-3.74, 1 Ho 3.43, 4 Dy 3.49-3.72
Ho 0.5000 0.5000 0.5000  6 Dy 3.43, 6 Tb 3.50

---

Tb2Dy3Ho6: optimized geometry, GGA-PBE.

Values from the calculation:
- offset from the most stable computed form (eV/atom) = 0.0000
- energy of formation (meV per atom) = 19
- symmetry = R-3m (166)
- total energy (eV per atom) = -4.575

Lattice parameters (Å, degrees): 31.6679 31.6679 31.6679 6.39 6.39 6.39
Last column: nearest neighbours and their distance in Å.
Element x y z (fractional)
Tb 0.0454 0.0454 0.0454  6 Ho 3.53, 6 Tb 3.53
Tb 0.9546 0.9546 0.9546  6 Ho 3.53, 6 Tb 3.53
Dy 0.2272 0.2272 0.2272  6 Ho 3.52, 6 Dy 3.53
Dy 0.5000 0.5000 0.5000  6 Ho 3.52, 6 Dy 3.53
Dy 0.7728 0.7728 0.7728  6 Ho 3.52, 6 Dy 3.53
Ho 0.1364 0.1364 0.1364  6 Dy 3.52, 6 Ho 3.53
Ho 0.3183 0.3183 0.3183  9 Ho 3.51-3.53, 3 Tb 3.53
Ho 0.4092 0.4092 0.4092  3 Dy 3.52, 3 Tb 3.53, 6 Ho 3.53
Ho 0.5908 0.5908 0.5908  3 Dy 3.52, 3 Tb 3.53, 6 Ho 3.53
Ho 0.6817 0.6817 0.6817  9 Ho 3.51-3.53, 3 Tb 3.53
Ho 0.8636 0.8636 0.8636  6 Dy 3.52, 6 Ho 3.53

---

Tb6Dy3Ho2: optimized geometry, GGA-PBE.

Values from the calculation:
- offset from the most stable computed form (eV/atom) = 0.0000
- energy of formation (meV per atom) = 16
- symmetry = R-3m (166)
- total energy (eV per atom) = -4.597

Lattice parameters (Å, degrees): 31.7955 31.7955 31.7955 6.39 6.39 6.39
Last column: nearest neighbours and their distance in Å.
Element x y z (fractional)
Tb 0.0910 0.0910 0.0910  3 Ho 3.53, 3 Dy 3.54, 6 Tb 3.54
Tb 0.1819 0.1819 0.1819  3 Ho 3.53, 9 Tb 3.54-3.55
Tb 0.3637 0.3637 0.3637  6 Dy 3.54, 6 Tb 3.54
Tb 0.6363 0.6363 0.6363  6 Dy 3.54, 6 Tb 3.54
Tb 0.8181 0.8181 0.8181  3 Ho 3.53, 9 Tb 3.54-3.55
Tb 0.9090 0.9090 0.9090  3 Ho 3.53, 3 Dy 3.54, 6 Tb 3.54
Dy 0.0000 0.0000 0.0000  6 Tb 3.54, 6 Dy 3.54
Dy 0.2727 0.2727 0.2727  6 Tb 3.54, 6 Dy 3.54
Dy 0.7273 0.7273 0.7273  6 Tb 3.54, 6 Dy 3.54
Ho 0.4546 0.4546 0.4546  6 Tb 3.53, 6 Ho 3.54
Ho 0.5454 0.5454 0.5454  6 Tb 3.53, 6 Ho 3.54

---

Tb5Dy4Ho2: optimized geometry, GGA-PBE.

Values from the calculation:
- offset from the most stable computed form (eV/atom) = 0.1672
- energy of formation (meV per atom) = 233
- symmetry = Immm (71)
- total energy (eV per atom) = -4.378

Lattice parameters (Å, degrees): 12.5056 12.5056 12.5056 164.00 137.80 45.41
Last column: nearest neighbours and their distance in Å.
Element x y z (fractional)
Tb 0.0000 0.0000 0.0000  4 Dy 3.27, 2 Tb 3.48
Tb 0.0536 0.3543 0.6993  1 Ho 3.37, 3 Dy 3.41-3.50, 3 Tb 3.48-3.59
Tb 0.3449 0.6457 0.6993  1 Ho 3.37, 3 Dy 3.41-3.50, 3 Tb 3.48-3.59
Tb 0.6551 0.3543 0.3007  1 Ho 3.37, 3 Dy 3.41-3.50, 3 Tb 3.48-3.59
Tb 0.9464 0.6457 0.3007  1 Ho 3.37, 3 Dy 3.41-3.50, 3 Tb 3.48-3.59
Dy 0.3080 0.5000 0.8080  4 Tb 3.27-3.50, 7 Dy 3.32-3.48
Dy 0.4030 0.9030 0.5000  1 Ho 3.09, 4 Dy 3.32, 4 Tb 3.41
Dy 0.5970 0.0970 0.5000  1 Ho 3.09, 4 Dy 3.32, 4 Tb 3.41
Dy 0.6920 0.5000 0.1920  4 Tb 3.27-3.50, 7 Dy 3.32-3.48
Ho 0.2691 0.7691 0.5000  1 Dy 3.09, 2 Tb 3.37
Ho 0.7309 0.2309 0.5000  1 Dy 3.09, 2 Tb 3.37

---

Tb3Dy6Ho: optimized geometry, GGA-PBE.

Values from the calculation:
- offset from the most stable computed form (eV/atom) = 0.0000
- energy of formation (meV per atom) = 122
- symmetry = Cmc2_1 (36)
- total energy (eV per atom) = -4.486

Lattice parameters (Å, degrees): 11.5048 11.5048 6.3407 90.00 90.00 130.87
Last column: nearest neighbours and their distance in Å.
Element x y z (fractional)
Tb 0.0796 0.9204 0.5000  5 Dy 3.14-3.50, 2 Tb 3.39
Tb 0.2037 0.4592 0.1048  2 Tb 3.23-3.39, 5 Dy 3.24-3.56, 1 Ho 3.47
Tb 0.4592 0.2037 0.6048  2 Tb 3.23-3.39, 5 Dy 3.24-3.56, 1 Ho 3.47
Tb 0.5408 0.7963 0.1048  2 Tb 3.23-3.39, 5 Dy 3.24-3.56, 1 Ho 3.47
Tb 0.7963 0.5408 0.6048  2 Tb 3.23-3.39, 5 Dy 3.24-3.56, 1 Ho 3.47
Tb 0.9204 0.0796 0.0000  5 Dy 3.14-3.50, 2 Tb 3.39
Dy 0.0430 0.6054 0.2643  2 Tb 3.24-3.37, 3 Dy 3.36-3.56, 2 Ho 3.54-3.63
Dy 0.1211 0.2427 0.5243  3 Tb 3.33-3.50, 4 Dy 3.48-3.65, 1 Ho 3.71
Dy 0.1986 0.8014 0.8013  1 Tb 3.14, 1 Ho 3.27, 2 Dy 3.41
Dy 0.2427 0.1211 0.0243  3 Tb 3.33-3.50, 4 Dy 3.48-3.65, 1 Ho 3.71
Dy 0.3946 0.9570 0.2643  2 Tb 3.24-3.37, 3 Dy 3.36-3.56, 2 Ho 3.54-3.63
Dy 0.4853 0.5147 0.7751  4 Dy 3.23-3.57, 1 Ho 3.30, 4 Tb 3.55-3.56
Dy 0.5147 0.4853 0.2751  4 Dy 3.23-3.57, 1 Ho 3.30, 4 Tb 3.55-3.56
Dy 0.6054 0.0430 0.7643  2 Tb 3.24-3.37, 3 Dy 3.36-3.56, 2 Ho 3.54-3.63
Dy 0.7573 0.8789 0.5243  3 Tb 3.33-3.50, 4 Dy 3.48-3.65, 1 Ho 3.71
Dy 0.8014 0.1986 0.3013  1 Tb 3.14, 1 Ho 3.27, 2 Dy 3.41
Dy 0.8789 0.7573 0.0243  3 Tb 3.33-3.50, 4 Dy 3.48-3.65, 1 Ho 3.71
Dy 0.9570 0.3946 0.7643  2 Tb 3.24-3.37, 3 Dy 3.36-3.56, 2 Ho 3.54-3.63
Ho 0.3395 0.6605 0.5780  6 Dy 3.27-3.63, 2 Tb 3.47
Ho 0.6605 0.3395 0.0780  6 Dy 3.27-3.63, 2 Tb 3.47

---

Tb6Dy2Ho5: optimized geometry, GGA-PBE.

Values from the calculation:
- energy of formation (meV per atom) = 98
- symmetry = Pbam (55)
- total energy (eV per atom) = -4.507

Lattice parameters (Å, degrees): 11.5732 20.1134 3.5637 90.00 90.00 90.00
Last column: nearest neighbours and their distance in Å.
Element x y z (fractional)
Tb 0.0592 0.0804 0.0000  6 Ho 3.45-3.58, 5 Tb 3.51-3.74, 1 Dy 3.70
Tb 0.0832 0.3679 0.0000  1 Dy 3.30, 6 Ho 3.34-3.49, 4 Tb 3.46-3.56
Tb 0.1726 0.6343 0.5000  2 Ho 3.30-3.36, 4 Tb 3.46-3.56, 2 Dy 3.59
Tb 0.3274 0.1343 0.5000  2 Ho 3.30-3.36, 4 Tb 3.46-3.56, 2 Dy 3.59
Tb 0.4168 0.8679 0.0000  1 Dy 3.30, 6 Ho 3.34-3.49, 4 Tb 3.46-3.56
Tb 0.4408 0.5804 0.0000  6 Ho 3.45-3.58, 5 Tb 3.51-3.74, 1 Dy 3.70
Tb 0.5592 0.4196 0.0000  6 Ho 3.45-3.58, 5 Tb 3.51-3.74, 1 Dy 3.70
Tb 0.5832 0.1321 0.0000  1 Dy 3.30, 6 Ho 3.34-3.49, 4 Tb 3.46-3.56
Tb 0.6726 0.8657 0.5000  2 Ho 3.30-3.36, 4 Tb 3.46-3.56, 2 Dy 3.59
Tb 0.8274 0.3657 0.5000  2 Ho 3.30-3.36, 4 Tb 3.46-3.56, 2 Dy 3.59
Tb 0.9168 0.6321 0.0000  1 Dy 3.30, 6 Ho 3.34-3.49, 4 Tb 3.46-3.56
Tb 0.9408 0.9196 0.0000  6 Ho 3.45-3.58, 5 Tb 3.51-3.74, 1 Dy 3.70
Dy 0.1662 0.7894 0.0000  4 Tb 3.30-3.70, 6 Ho 3.49-3.68, 2 Dy 3.56
Dy 0.3338 0.2894 0.0000  4 Tb 3.30-3.70, 6 Ho 3.49-3.68, 2 Dy 3.56
Dy 0.6662 0.7106 0.0000  4 Tb 3.30-3.70, 6 Ho 3.49-3.68, 2 Dy 3.56
Dy 0.8338 0.2106 0.0000  4 Tb 3.30-3.70, 6 Ho 3.49-3.68, 2 Dy 3.56
Ho 0.0000 0.5000 0.5000  6 Tb 3.34-3.36, 4 Ho 3.56-3.64
Ho 0.0916 0.2261 0.5000  5 Tb 3.30-3.45, 4 Dy 3.49-3.56, 2 Ho 3.56
Ho 0.1982 0.9486 0.5000  6 Tb 3.49-3.58, 3 Ho 3.56-3.64, 2 Dy 3.68
Ho 0.3018 0.4486 0.5000  6 Tb 3.49-3.58, 3 Ho 3.56-3.64, 2 Dy 3.68
Ho 0.4084 0.7261 0.5000  5 Tb 3.30-3.45, 4 Dy 3.49-3.56, 2 Ho 3.56
Ho 0.5000 0.0000 0.5000  6 Tb 3.34-3.36, 4 Ho 3.56-3.64
Ho 0.5916 0.2739 0.5000  5 Tb 3.30-3.45, 4 Dy 3.49-3.56, 2 Ho 3.56
Ho 0.6982 0.5514 0.5000  6 Tb 3.49-3.58, 3 Ho 3.56-3.64, 2 Dy 3.68
Ho 0.8018 0.0514 0.5000  6 Tb 3.49-3.58, 3 Ho 3.56-3.64, 2 Dy 3.68
Ho 0.9084 0.7739 0.5000  5 Tb 3.30-3.45, 4 Dy 3.49-3.56, 2 Ho 3.56